[1]
La2TaAlCr: relaxed, PBE.

a b c (Å): 5.624 4.851 5.624
angles (deg): 90.00 90.00 90.00
Sites, in units of the cell vectors:
Cr 0.500 0.500 0.500
La 0.000 0.000 0.500
La 0.500 0.000 0.000
Al 0.000 0.000 0.000
Ta 0.000 0.500 0.000

Summary:
- calculated density (g/cm³) = 5.82
- calculated volume (A^3/atom) = 30.68
- size of the total moment (μB per formula unit) = 0.23
- formation energy (eV/atom) = 1.457
- space-group type = P4/mmm
- E (eV per atom) = -5.56

[2]
LaTiAl2Cr: relaxed, PBE.

a b c (Å): 4.834 4.385 4.834
angles (deg): 90.00 90.00 90.00
Sites, in units of the cell vectors:
Cr 0.000 0.000 0.000
Ti 0.000 0.500 0.000
Al 0.000 0.000 0.500
Al 0.500 0.000 0.000
La 0.500 0.500 0.500

Summary:
- calculated density (g/cm³) = 4.74
- calculated volume (A^3/atom) = 20.49
- size of the total moment (μB per formula unit) = 0.00
- formation energy (eV/atom) = -0.068
- space-group type = P4/mmm
- E (eV per atom) = -6.05

[3]
LaAlV2Cr: relaxed, PBE.

a b c (Å): 4.522 5.292 4.522
angles (deg): 90.00 90.00 90.00
Sites, in units of the cell vectors:
Cr 0.500 0.500 0.500
V 0.000 0.000 0.500
V 0.500 0.000 0.000
Al 0.000 0.500 0.000
La 0.000 0.000 0.000

Summary:
- calculated density (g/cm³) = 4.91
- calculated volume (A^3/atom) = 21.64
- size of the total moment (μB per formula unit) = 1.13
- formation energy (eV/atom) = 2.233
- space-group type = P4/mmm
- E (eV per atom) = -5.07

[4]
LaYAlCr2: relaxed, PBE.

a b c (Å): 4.940 5.418 4.940
angles (deg): 90.00 90.00 90.00
Sites, in units of the cell vectors:
Y 0.000 0.500 0.000
Cr 0.000 0.000 0.500
Cr 0.500 0.000 0.000
Al 0.000 0.000 0.000
La 0.500 0.500 0.500

Summary:
- calculated density (g/cm³) = 4.51
- calculated volume (A^3/atom) = 26.45
- size of the total moment (μB per formula unit) = 6.87
- formation energy (eV/atom) = 0.702
- space-group type = P4/mmm
- E (eV per atom) = -6.17

[5]
Li3AlCr: relaxed, PBE.

a b c (Å): 4.795 4.795 4.795
angles (deg): 90.00 90.00 90.00
Sites, in units of the cell vectors:
Cr 0.000 0.000 0.000
Al 0.500 0.500 0.500
Li 0.000 0.500 0.000
Li 0.000 0.000 0.500
Li 0.500 0.000 0.000

Summary:
- calculated density (g/cm³) = 1.50
- calculated volume (A^3/atom) = 22.05
- size of the total moment (μB per formula unit) = 4.74
- formation energy (eV/atom) = 0.829
- space-group type = Pm-3m
- E (eV per atom) = -2.99
- energy above the most stable polymorph in this dataset (meV per atom) = 0

[6]
Li2AlCr: relaxed, PBE.

a b c (Å): 2.780 4.083 5.724
angles (deg): 90.00 90.00 90.00
Sites, in units of the cell vectors:
Al 0.000 0.000 0.526
Cr 0.500 0.500 0.721
Li 0.000 0.000 0.999
Li 0.500 0.500 0.254

Summary:
- calculated density (g/cm³) = 2.37
- calculated volume (A^3/atom) = 16.24
- size of the total moment (μB per formula unit) = 3.33
- formation energy (eV/atom) = 0.181
- space-group type = Pmm2
- E (eV per atom) = -4.12

[7]
Li2AlCr: relaxed, PBE.

a b c (Å): 2.522 2.522 8.904
angles (deg): 90.00 90.00 90.00
Sites, in units of the cell vectors:
Al 0.500 0.500 0.250
Cr 0.500 0.500 0.750
Li 0.000 0.000 0.000
Li 0.000 0.000 0.500

Summary:
- calculated density (g/cm³) = 2.72
- calculated volume (A^3/atom) = 14.15
- size of the total moment (μB per formula unit) = 0.30
- formation energy (eV/atom) = 0.330
- space-group type = P4/mmm
- E (eV per atom) = -3.97

[8]
LiAlCr3: relaxed, PBE.

a b c (Å): 3.999 3.999 3.999
angles (deg): 90.00 90.00 90.00
Sites, in units of the cell vectors:
Cr 0.000 0.500 0.000
Cr 0.000 0.000 0.500
Cr 0.500 0.000 0.000
Al 0.500 0.500 0.500
Li 0.000 0.000 0.000

Summary:
- calculated density (g/cm³) = 4.93
- calculated volume (A^3/atom) = 12.79
- size of the total moment (μB per formula unit) = 2.15
- formation energy (eV/atom) = 1.213
- space-group type = Pm-3m
- E (eV per atom) = -5.69
- energy above the most stable polymorph in this dataset (meV per atom) = 0